[1]
A plane-wave DFT calculation with GGA-PBE was carried out for a relaxed Ti5GaSn2 crystal.

## Properties
Formation enthalpy at 0 K in eV/atom: 0.14
Magnetic moment in μB per formula unit: 0.000
Total DFT energy (no corrections) in eV for the cell shown: -98.8

abc: 4.5136 7.0324 11.4184
angles: 90.00 90.00 108.72
With the nearest neighbours (Å) after each atom.
Atoms (fractional coordinates):
Ti: 0.8842 0.7683 0.8722  6 Ti 2.79-2.96, 2 Sn 2.84-2.85, 1 Ga 2.87
Ti: 0.8842 0.7683 0.6278  6 Ti 2.79-2.96, 2 Sn 2.84-2.85, 1 Ga 2.87
Ti: 0.3025 0.6050 0.4903  6 Ti 2.66-2.97, 1 Ga 2.74, 2 Sn 2.90
Ti: 0.3025 0.6050 0.0097  6 Ti 2.66-2.97, 1 Ga 2.74, 2 Sn 2.90
Ti: 0.6970 0.3940 0.2500  2 Ga 2.67, 6 Ti 2.87-2.97
Ti: 0.3030 0.6060 0.7500  2 Ga 2.67, 6 Ti 2.87-2.97
Ti: 0.6975 0.3950 0.5097  6 Ti 2.66-2.97, 1 Ga 2.74, 2 Sn 2.90
Ti: 0.6975 0.3950 0.9903  6 Ti 2.66-2.97, 1 Ga 2.74, 2 Sn 2.90
Ti: 0.1158 0.2317 0.1278  6 Ti 2.79-2.96, 2 Sn 2.84-2.85, 1 Ga 2.87
Ti: 0.1158 0.2317 0.3722  6 Ti 2.79-2.96, 2 Sn 2.84-2.85, 1 Ga 2.87
Ga: 0.6960 0.3919 0.7500  6 Ti 2.67-2.87
Ga: 0.3040 0.6081 0.2500  6 Ti 2.67-2.87
Sn: 0.9019 0.8038 0.3803  6 Ti 2.84-3.11, 1 Sn 2.97, 2 Ga 3.00
Sn: 0.9019 0.8038 0.1197  6 Ti 2.84-3.11, 1 Sn 2.97, 2 Ga 3.00
Sn: 0.0981 0.1962 0.6197  6 Ti 2.84-3.11, 1 Sn 2.97, 2 Ga 3.00
Sn: 0.0981 0.1962 0.8803  6 Ti 2.84-3.11, 1 Sn 2.97, 2 Ga 3.00

[2]
A plane-wave DFT calculation with GGA-PBE was carried out for a relaxed Ti12GaSn3 crystal.

## Properties
Formation enthalpy at 0 K in eV/atom: -0.29
Magnetic moment in μB per formula unit: 1.659
Total DFT energy (no corrections) in eV for the cell shown: -114.4

abc: 5.1954 5.2004 10.4066
angles: 90.00 90.00 90.00
With the nearest neighbours (Å) after each atom.
Atoms (fractional coordinates):
Ti: 0.5000 0.0000 0.3802  2 Ti 2.49-2.62
Ti: 0.5000 0.0000 0.8720  2 Ti 2.62-2.67, 4 Sn 2.89-2.92
Ti: 0.7483 0.5000 0.0000  2 Ti 2.58-2.62
Ti: 0.7556 0.5000 0.5000  2 Ti 2.54-2.66
Ti: 0.0000 0.7532 0.2563  2 Ti 2.57-2.63, 1 Ga 2.84
Ti: 0.0000 0.7532 0.7437  2 Ti 2.57-2.63, 1 Ga 2.84
Ti: 0.5000 0.0000 0.1280  2 Ti 2.62-2.67, 4 Sn 2.89-2.92
Ti: 0.5000 0.0000 0.6198  2 Ti 2.49-2.62
Ti: 0.2517 0.5000 0.0000  2 Ti 2.58-2.62
Ti: 0.2444 0.5000 0.5000  2 Ti 2.54-2.66
Ti: 0.0000 0.2468 0.2563  2 Ti 2.57-2.63, 1 Ga 2.84
Ti: 0.0000 0.2468 0.7437  2 Ti 2.57-2.63, 1 Ga 2.84
Ga: 0.0000 0.0000 0.5000  12 Ti 2.84-2.89
Sn: 0.5000 0.5000 0.2501  12 Ti 2.89-2.93
Sn: 0.5000 0.5000 0.7499  12 Ti 2.89-2.93
Sn: 0.0000 0.0000 0.0000  12 Ti 2.91-2.96

[3]
A plane-wave DFT calculation with GGA-PBE was carried out for a relaxed TiGaSn crystal.

## Properties
Formation enthalpy at 0 K in eV/atom: 0.04
Excess energy over the best structure of this formula in the dataset in meV/atom: 91
Magnetic moment in μB per formula unit: 0.067
Total DFT energy (no corrections) in eV for the cell shown: -14.8

abc: 3.6664 4.3559 4.3559
angles: 120.00 90.00 90.00
With the nearest neighbours (Å) after each atom.
Atoms (fractional coordinates):
Sn: 0.6906 0.6667 0.3333  3 Ga 2.85, 3 Ti 2.99
Ga: 0.0579 0.0000 0.0000  3 Ti 2.61, 3 Sn 2.85
Ti: 0.2516 0.3333 0.6667  3 Ga 2.61

[4]
A plane-wave DFT calculation with GGA-PBE was carried out for a relaxed Ti4Ga4Sn crystal.

## Properties
Formation enthalpy at 0 K in eV/atom: -0.17
Magnetic moment in μB per formula unit: 0.002
Total DFT energy (no corrections) in eV for the cell shown: -49.2

abc: 5.2000 6.1599 6.1599
angles: 79.74 65.03 65.03
With the nearest neighbours (Å) after each atom.
Atoms (fractional coordinates):
Ti: 0.6554 0.3977 0.2914  1 Ti 2.59, 5 Ga 2.70-2.82, 1 Sn 2.75
Ti: 0.3446 0.6023 0.7086  1 Ti 2.59, 5 Ga 2.70-2.82, 1 Sn 2.75
Ti: 0.9469 0.7086 0.3977  1 Ti 2.59, 5 Ga 2.70-2.82, 1 Sn 2.75
Ti: 0.0531 0.2914 0.6023  1 Ti 2.59, 5 Ga 2.70-2.82, 1 Sn 2.75
Ga: 0.7153 0.6809 0.8885  2 Ga 2.67, 5 Ti 2.70-2.82
Ga: 0.2847 0.3191 0.1115  2 Ga 2.67, 5 Ti 2.70-2.82
Ga: 0.6038 0.1115 0.6809  2 Ga 2.67, 5 Ti 2.70-2.82
Ga: 0.3962 0.8885 0.3191  2 Ga 2.67, 5 Ti 2.70-2.82
Sn: 0.0000 0.0000 0.0000  4 Ti 2.75

[5]
A plane-wave DFT calculation with GGA-PBE was carried out for a relaxed Ti2Ga2Sn crystal.

## Properties
Formation enthalpy at 0 K in eV/atom: -0.15
Excess energy over the best structure of this formula in the dataset in meV/atom: 46
Magnetic moment in μB per formula unit: 0.000
Total DFT energy (no corrections) in eV for the cell shown: -53.2

abc: 7.0627 7.0627 5.5644
angles: 102.12 102.12 130.24
With the nearest neighbours (Å) after each atom.
Atoms (fractional coordinates):
Ti: 0.1034 0.3966 0.7500  4 Ga 2.65-2.85, 3 Sn 2.69-2.78
Ti: 0.4901 0.0099 0.2500  2 Ti 2.79, 4 Ga 2.85-3.02
Ti: 0.5099 0.9901 0.7500  2 Ti 2.79, 4 Ga 2.85-3.02
Ti: 0.8966 0.6034 0.2500  4 Ga 2.65-2.85, 3 Sn 2.69-2.78
Ga: 0.2531 0.1545 0.4856  3 Ti 2.65-2.85, 3 Ga 2.71-2.93, 1 Sn 2.87
Ga: 0.6545 0.7531 0.9856  3 Ti 2.65-2.85, 3 Ga 2.71-2.93, 1 Sn 2.87
Ga: 0.7469 0.8455 0.5144  3 Ti 2.65-2.85, 3 Ga 2.71-2.93, 1 Sn 2.87
Ga: 0.3455 0.2469 0.0144  3 Ti 2.65-2.85, 3 Ga 2.71-2.93, 1 Sn 2.87
Sn: 0.8932 0.6068 0.7500  3 Ti 2.69-2.78, 2 Ga 2.87
Sn: 0.1068 0.3932 0.2500  3 Ti 2.69-2.78, 2 Ga 2.87

[6]
A plane-wave DFT calculation with GGA-PBE was carried out for a relaxed Ti5Ga12Sn3 crystal.

## Properties
Formation enthalpy at 0 K in eV/atom: 0.43
Magnetic moment in μB per formula unit: 4.664
Total DFT energy (no corrections) in eV for the cell shown: -317.0

abc: 13.6199 13.6199 13.6199
angles: 109.47 109.47 109.47
With the nearest neighbours (Å) after each atom.
Atoms (fractional coordinates):
Sn: 0.7500 0.3750 0.1250  8 Ga 2.77-2.97
Sn: 0.8750 0.7500 0.1250  8 Ga 2.77-2.97
Sn: 0.3750 0.7500 0.6250  8 Ga 2.77-2.97
Sn: 0.2500 0.1250 0.3750  8 Ga 2.77-2.97
Sn: 0.8750 0.1250 0.2500  8 Ga 2.77-2.97
Sn: 0.3750 0.6250 0.2500  8 Ga 2.77-2.97
Sn: 0.6250 0.3750 0.7500  8 Ga 2.77-2.97
Sn: 0.1250 0.8750 0.7500  8 Ga 2.77-2.97
Sn: 0.7500 0.8750 0.6250  8 Ga 2.77-2.97
Sn: 0.6250 0.2500 0.3750  8 Ga 2.77-2.97
Sn: 0.1250 0.2500 0.8750  8 Ga 2.77-2.97
Sn: 0.2500 0.6250 0.8750  8 Ga 2.77-2.97
Ti: 0.1250 0.3750 0.2500  4 Ga 2.66
Ti: 0.0000 0.5000 0.0000  6 Ga 2.61
Ti: 0.0000 0.0000 0.0000  6 Ga 2.61
Ti: 0.3750 0.2500 0.1250  4 Ga 2.66
Ti: 0.5000 0.0000 0.5000  6 Ga 2.61
Ti: 0.5000 0.5000 0.0000  6 Ga 2.61
Ti: 0.1250 0.7500 0.3750  4 Ga 2.66
Ti: 0.7500 0.1250 0.8750  4 Ga 2.66
Ti: 0.7500 0.6250 0.3750  4 Ga 2.66
Ti: 0.3750 0.1250 0.7500  4 Ga 2.66
Ti: 0.6250 0.8750 0.2500  4 Ga 2.66
Ti: 0.5000 0.5000 0.5000  6 Ga 2.61
Ti: 0.5000 0.0000 0.0000  6 Ga 2.61
Ti: 0.0000 0.0000 0.5000  6 Ga 2.61
Ti: 0.2500 0.3750 0.6250  4 Ga 2.66
Ti: 0.2500 0.8750 0.1250  4 Ga 2.66
Ti: 0.0000 0.5000 0.5000  6 Ga 2.61
Ti: 0.8750 0.2500 0.6250  4 Ga 2.66
Ti: 0.6250 0.7500 0.8750  4 Ga 2.66
Ti: 0.8750 0.6250 0.7500  4 Ga 2.66
Ga: 0.7232 0.1331 0.0619  2 Ti 2.61-2.66, 1 Sn 2.77
Ga: 0.3387 0.5619 0.4288  2 Ti 2.61-2.66, 1 Sn 2.77
Ga: 0.9381 0.3669 0.2768  2 Ti 2.61-2.66, 1 Sn 2.77
Ga: 0.5619 0.2232 0.1331  2 Ti 2.61-2.66, 1 Sn 2.77
Ga: 0.5901 0.7232 0.6613  2 Ti 2.61-2.66, 1 Sn 2.77
Ga: 0.9381 0.5712 0.1613  2 Ti 2.61-2.66, 1 Sn 2.77
Ga: 0.3387 0.7768 0.4099  2 Ti 2.61-2.66, 1 Sn 2.77
Ga: 0.0712 0.9099 0.1331  2 Ti 2.61-2.66, 1 Sn 2.77
Ga: 0.5712 0.9381 0.6613  2 Ti 2.61-2.66, 1 Sn 2.77
Ga: 0.7232 0.5901 0.1613  2 Ti 2.61-2.66, 1 Sn 2.77
Ga: 0.7768 0.4381 0.3669  2 Ti 2.61-2.66, 1 Sn 2.77
Ga: 0.8387 0.9288 0.0619  2 Ti 2.61-2.66, 1 Sn 2.77
Ga: 0.1331 0.7232 0.5619  2 Ti 2.61-2.66, 1 Sn 2.77
Ga: 0.3669 0.4288 0.0901  2 Ti 2.61-2.66, 1 Sn 2.77
Ga: 0.0901 0.9288 0.3669  2 Ti 2.61-2.66, 1 Sn 2.77
Ga: 0.4099 0.1331 0.5712  2 Ti 2.61-2.66, 1 Sn 2.77
Ga: 0.0901 0.1613 0.2232  2 Ti 2.61-2.66, 1 Sn 2.77
Ga: 0.4381 0.6613 0.0712  2 Ti 2.61-2.66, 1 Sn 2.77
Ga: 0.8387 0.9099 0.2768  2 Ti 2.61-2.66, 1 Sn 2.77
Ga: 0.1331 0.4099 0.0712  2 Ti 2.61-2.66, 1 Sn 2.77
Ga: 0.3669 0.9381 0.7768  2 Ti 2.61-2.66, 1 Sn 2.77
Ga: 0.5712 0.6331 0.4099  2 Ti 2.61-2.66, 1 Sn 2.77
Ga: 0.9288 0.8387 0.5619  2 Ti 2.61-2.66, 1 Sn 2.77
Ga: 0.7768 0.3387 0.9099  2 Ti 2.61-2.66, 1 Sn 2.77
Ga: 0.4288 0.3669 0.5901  2 Ti 2.61-2.66, 1 Sn 2.77
Ga: 0.0712 0.1613 0.4381  2 Ti 2.61-2.66, 1 Sn 2.77
Ga: 0.2232 0.6613 0.0901  2 Ti 2.61-2.66, 1 Sn 2.77
Ga: 0.1613 0.0901 0.7232  2 Ti 2.61-2.66, 1 Sn 2.77
Ga: 0.6331 0.0619 0.2232  2 Ti 2.61-2.66, 1 Sn 2.77
Ga: 0.8669 0.5901 0.9288  2 Ti 2.61-2.66, 1 Sn 2.77
Ga: 0.5619 0.3387 0.9288  2 Ti 2.61-2.66, 1 Sn 2.77
Ga: 0.5901 0.8669 0.4288  2 Ti 2.61-2.66, 1 Sn 2.77
Ga: 0.9099 0.8387 0.7768  2 Ti 2.61-2.66, 1 Sn 2.77
Ga: 0.9099 0.0712 0.6331  2 Ti 2.61-2.66, 1 Sn 2.77
Ga: 0.8669 0.2768 0.4381  2 Ti 2.61-2.66, 1 Sn 2.77
Ga: 0.1613 0.0712 0.9381  2 Ti 2.61-2.66, 1 Sn 2.77
Ga: 0.6331 0.5712 0.9099  2 Ti 2.61-2.66, 1 Sn 2.77
Ga: 0.4288 0.0619 0.3387  2 Ti 2.61-2.66, 1 Sn 2.77
Ga: 0.2768 0.4099 0.8387  2 Ti 2.61-2.66, 1 Sn 2.77
Ga: 0.2232 0.5619 0.6331  2 Ti 2.61-2.66, 1 Sn 2.77
Ga: 0.9288 0.0901 0.8669  2 Ti 2.61-2.66, 1 Sn 2.77
Ga: 0.6613 0.2232 0.5901  2 Ti 2.61-2.66, 1 Sn 2.77
Ga: 0.4381 0.7768 0.8669  2 Ti 2.61-2.66, 1 Sn 2.77
Ga: 0.0619 0.4288 0.8387  2 Ti 2.61-2.66, 1 Sn 2.77
Ga: 0.4099 0.2768 0.3387  2 Ti 2.61-2.66, 1 Sn 2.77
Ga: 0.0619 0.6331 0.7232  2 Ti 2.61-2.66, 1 Sn 2.77
Ga: 0.6613 0.4381 0.5712  2 Ti 2.61-2.66, 1 Sn 2.77
Ga: 0.2768 0.8669 0.9381  2 Ti 2.61-2.66, 1 Sn 2.77